[1]
A relaxed structure of Y2Cu15Ag2. Source: Alexandria, functional PBE.

Cell and atoms, written as POSCAR:
```
Y2Cu15Ag2
1.0
4.348 2.511 4.209
-4.348 2.511 4.209
0.000 -5.021 4.209
Y Cu Ag
2 15 2
Direct
0.153 0.153 0.153 Y
0.847 0.847 0.847 Y
0.000 0.500 0.500 Cu
0.151 0.151 0.661 Cu
0.151 0.661 0.151 Cu
0.198 0.500 0.802 Cu
0.198 0.802 0.500 Cu
0.339 0.849 0.849 Cu
0.500 0.000 0.500 Cu
0.500 0.198 0.802 Cu
0.500 0.500 0.000 Cu
0.500 0.802 0.198 Cu
0.661 0.151 0.151 Cu
0.802 0.198 0.500 Cu
0.802 0.500 0.198 Cu
0.849 0.339 0.849 Cu
0.849 0.849 0.339 Cu
0.395 0.395 0.395 Ag
0.605 0.605 0.605 Ag
```

Summary:
Symmetry: R-3m, No. 166
ΔE_f (kJ/mol of formula units): -184

***

[2]
A relaxed structure of Y3CuAg. Source: Alexandria, functional PBE.

Cell and atoms, written as POSCAR:
```
Y3CuAg
1.0
5.502 0.000 0.000
0.000 5.502 0.000
0.000 0.000 5.502
Y Cu Ag
3 1 1
Direct
0.000 0.000 0.500 Y
0.000 0.500 0.000 Y
0.500 0.000 0.000 Y
0.500 0.500 0.500 Cu
0.000 0.000 0.000 Ag
```

Summary:
Symmetry: Pm-3m, No. 221
ΔE_f (kJ/mol of formula units): 263
Offset from the most stable computed form (meV/atom): 746.6

***

[3]
A relaxed structure of YCuAg2. Source: Alexandria, functional PBE.

Cell and atoms, written as POSCAR:
```
YCuAg2
1.0
0.000 3.402 3.402
3.402 0.000 3.402
3.402 3.402 0.000
Y Cu Ag
1 1 2
Direct
0.000 0.000 0.000 Y
0.500 0.500 0.500 Cu
0.250 0.250 0.250 Ag
0.750 0.750 0.750 Ag
```

Summary:
Symmetry: Fm-3m, No. 225
ΔE_f (kJ/mol of formula units): -40
Offset from the most stable computed form (meV/atom): 140.3

***

[4]
A relaxed structure of YCuAg2. Source: Alexandria, functional PBE.

Cell and atoms, written as POSCAR:
```
YCuAg2
1.0
3.474 0.000 0.000
0.000 3.474 0.000
0.000 0.000 6.480
Y Cu Ag
1 1 2
Direct
0.000 0.000 0.000 Y
0.500 0.500 0.733 Cu
0.000 0.000 0.532 Ag
0.500 0.500 0.298 Ag
```

Summary:
Symmetry: P4mm, No. 99
ΔE_f (kJ/mol of formula units): -49
Offset from the most stable computed form (meV/atom): 117.0

***

[5]
A relaxed structure of Y4CuAg3. Source: Alexandria, functional PBE.

Cell and atoms, written as POSCAR:
```
Y4CuAg3
1.0
3.602 0.000 0.000
0.000 3.602 0.000
0.000 0.000 14.498
Y Cu Ag
4 1 3
Direct
0.000 0.000 0.116 Y
0.000 0.000 0.372 Y
0.000 0.000 0.628 Y
0.000 0.000 0.884 Y
0.500 0.500 0.000 Cu
0.500 0.500 0.245 Ag
0.500 0.500 0.500 Ag
0.500 0.500 0.755 Ag
```

Summary:
Symmetry: P4/mmm, No. 123
ΔE_f (kJ/mol of formula units): -235

***

[6]
A relaxed structure of Y8CuAg2. Source: Alexandria, functional PBE.

Cell and atoms, written as POSCAR:
```
Y8CuAg2
1.0
8.870 -2.605 0.000
8.870 2.605 0.000
-1.963 0.000 6.578
Y Cu Ag
8 1 2
Direct
0.028 0.028 0.285 Y
0.200 0.200 0.815 Y
0.338 0.338 0.526 Y
0.409 0.409 0.053 Y
0.591 0.591 0.947 Y
0.662 0.662 0.474 Y
0.800 0.800 0.185 Y
0.972 0.972 0.715 Y
0.500 0.500 0.500 Cu
0.185 0.185 0.224 Ag
0.815 0.815 0.776 Ag
```

Summary:
Symmetry: C2/m, No. 12
ΔE_f (kJ/mol of formula units): -134
Offset from the most stable computed form (meV/atom): 0.0

***

[7]
A relaxed structure of Y4Cu2Ag. Source: Alexandria, functional PBE.

Cell and atoms, written as POSCAR:
```
Y4Cu2Ag
1.0
2.491 1.438 8.010
-2.491 1.438 8.010
0.000 -2.877 8.010
Y Cu Ag
4 2 1
Direct
0.120 0.120 0.120 Y
0.371 0.371 0.371 Y
0.629 0.629 0.629 Y
0.880 0.880 0.880 Y
0.249 0.249 0.249 Cu
0.751 0.751 0.751 Cu
0.500 0.500 0.500 Ag
```

Summary:
Symmetry: R-3m, No. 166
ΔE_f (kJ/mol of formula units): -87

***

[8]
A relaxed structure of YCuAg2. Source: Alexandria, functional PBE.

Cell and atoms, written as POSCAR:
```
YCuAg2
1.0
0.000 3.392 3.392
3.392 0.000 3.392
3.392 3.392 0.000
Y Cu Ag
1 1 2
Direct
0.000 0.000 0.000 Y
0.750 0.750 0.750 Cu
0.250 0.250 0.250 Ag
0.500 0.500 0.500 Ag
```

Summary:
Symmetry: F-43m, No. 216
ΔE_f (kJ/mol of formula units): -59
Offset from the most stable computed form (meV/atom): 90.8

***

[9]
A relaxed structure of Y7Cu2Ag2. Source: Alexandria, functional PBE.

Cell and atoms, written as POSCAR:
```
Y7Cu2Ag2
1.0
3.844 -5.550 0.000
3.844 5.550 0.000
0.000 0.000 7.161
Y Cu Ag
7 2 2
Direct
0.000 0.000 0.000 Y
0.000 0.500 0.262 Y
0.000 0.500 0.738 Y
0.500 0.000 0.262 Y
0.500 0.000 0.738 Y
0.500 0.500 0.249 Y
0.500 0.500 0.751 Y
0.299 0.701 0.000 Cu
0.701 0.299 0.000 Cu
0.178 0.178 0.500 Ag
0.822 0.822 0.500 Ag
```

Summary:
Symmetry: Cmmm, No. 65
ΔE_f (kJ/mol of formula units): 18

***

[10]
A relaxed structure of YCuAg2. Source: Alexandria, functional PBE.

Cell and atoms, written as POSCAR:
```
YCuAg2
1.0
2.036 -4.933 0.000
2.036 4.933 0.000
0.000 0.000 7.763
Y Cu Ag
2 2 4
Direct
0.062 0.938 0.750 Y
0.938 0.062 0.250 Y
0.229 0.771 0.250 Cu
0.771 0.229 0.750 Cu
0.359 0.641 0.556 Ag
0.359 0.641 0.944 Ag
0.641 0.359 0.056 Ag
0.641 0.359 0.444 Ag
```

Summary:
Symmetry: Cmcm, No. 63
ΔE_f (kJ/mol of formula units): -94
Offset from the most stable computed form (meV/atom): 0.0

***

[11]
A relaxed structure of Y3CuAg. Source: Alexandria, functional PBE.

Cell and atoms, written as POSCAR:
```
Y3CuAg
1.0
2.521 -9.787 0.000
2.521 9.787 0.000
0.000 0.000 5.045
Y Cu Ag
6 2 2
Direct
0.067 0.933 0.750 Y
0.250 0.750 0.750 Y
0.433 0.567 0.750 Y
0.567 0.433 0.250 Y
0.750 0.250 0.250 Y
0.933 0.067 0.250 Y
0.160 0.840 0.250 Cu
0.840 0.160 0.750 Cu
0.341 0.659 0.250 Ag
0.659 0.341 0.750 Ag
```

Summary:
Symmetry: Cmcm, No. 63
ΔE_f (kJ/mol of formula units): -97
Offset from the most stable computed form (meV/atom): 0.0

***

[12]
A relaxed structure of Y2Cu2Ag. Source: Alexandria, functional PBE.

Cell and atoms, written as POSCAR:
```
Y2Cu2Ag
1.0
-2.709 2.709 3.782
2.709 -2.709 3.782
2.709 2.709 -3.782
Y Cu Ag
2 2 1
Direct
0.250 0.750 0.500 Y
0.750 0.250 0.500 Y
0.148 0.148 0.000 Cu
0.852 0.852 0.000 Cu
0.500 0.500 0.000 Ag
```

Summary:
Symmetry: I4/mmm, No. 139
ΔE_f (kJ/mol of formula units): -33
Offset from the most stable computed form (meV/atom): 213.6

***

[13]
A relaxed structure of Y2Cu2Ag. Source: Alexandria, functional PBE.

Cell and atoms, written as POSCAR:
```
Y2Cu2Ag
1.0
-1.757 1.757 8.684
1.757 -1.757 8.684
1.757 1.757 -8.684
Y Cu Ag
2 2 1
Direct
0.112 0.112 0.000 Y
0.888 0.888 0.000 Y
0.250 0.750 0.500 Cu
0.750 0.250 0.500 Cu
0.500 0.500 0.000 Ag
```

Summary:
Symmetry: I4/mmm, No. 139
ΔE_f (kJ/mol of formula units): -36
Offset from the most stable computed form (meV/atom): 205.9

***

[14]
A relaxed structure of Y5Cu2Ag. Source: Alexandria, functional PBE.

Cell and atoms, written as POSCAR:
```
Y5Cu2Ag
1.0
-3.935 3.935 6.489
3.935 -3.935 6.489
3.935 3.935 -6.489
Y Cu Ag
10 4 2
Direct
0.000 0.000 0.000 Y
0.018 0.518 0.819 Y
0.199 0.018 0.500 Y
0.301 0.801 0.819 Y
0.482 0.301 0.500 Y
0.500 0.500 0.000 Y
0.518 0.699 0.500 Y
0.699 0.199 0.181 Y
0.801 0.982 0.500 Y
0.982 0.482 0.181 Y
0.126 0.374 0.500 Cu
0.374 0.874 0.248 Cu
0.626 0.126 0.752 Cu
0.874 0.626 0.500 Cu
0.250 0.250 0.000 Ag
0.750 0.750 0.000 Ag
```

Summary:
Symmetry: I4/mcm, No. 140
ΔE_f (kJ/mol of formula units): -136

***

[15]
A relaxed structure of Y2CuAg2. Source: Alexandria, functional PBE.

Cell and atoms, written as POSCAR:
```
Y2CuAg2
1.0
-1.879 1.879 8.405
1.879 -1.879 8.405
1.879 1.879 -8.405
Y Cu Ag
2 1 2
Direct
0.097 0.097 0.000 Y
0.903 0.903 0.000 Y
0.500 0.500 0.000 Cu
0.250 0.750 0.500 Ag
0.750 0.250 0.500 Ag
```

Summary:
Symmetry: I4/mmm, No. 139
ΔE_f (kJ/mol of formula units): 0
Offset from the most stable computed form (meV/atom): 132.1

***

[16]
A relaxed structure of Y3Cu2Ag4. Source: Alexandria, functional PBE.

Cell and atoms, written as POSCAR:
```
Y3Cu2Ag4
1.0
5.281 -2.305 0.000
5.281 2.305 0.000
-3.739 0.000 7.850
Y Cu Ag
3 2 4
Direct
0.000 0.000 0.000 Y
0.324 0.324 0.349 Y
0.676 0.676 0.651 Y
0.410 0.410 0.735 Cu
0.590 0.590 0.265 Cu
0.038 0.038 0.368 Ag
0.281 0.281 0.936 Ag
0.719 0.719 0.064 Ag
0.962 0.962 0.632 Ag
```

Summary:
Symmetry: C2/m, No. 12
ΔE_f (kJ/mol of formula units): -206

***

[17]
A relaxed structure of Y12Cu6Ag. Source: Alexandria, functional PBE.

Cell and atoms, written as POSCAR:
```
Y12Cu6Ag
1.0
-4.923 4.923 4.923
4.923 -4.923 4.923
4.923 4.923 -4.923
Y Cu Ag
12 6 1
Direct
0.106 0.294 0.812 Y
0.188 0.482 0.294 Y
0.188 0.894 0.706 Y
0.294 0.188 0.482 Y
0.294 0.812 0.106 Y
0.482 0.294 0.188 Y
0.518 0.706 0.812 Y
0.706 0.188 0.894 Y
0.706 0.812 0.518 Y
0.812 0.106 0.294 Y
0.812 0.518 0.706 Y
0.894 0.706 0.188 Y
0.124 0.500 0.624 Cu
0.376 0.876 0.500 Cu
0.500 0.376 0.876 Cu
0.500 0.624 0.124 Cu
0.624 0.124 0.500 Cu
0.876 0.500 0.376 Cu
0.000 0.000 0.000 Ag
```

Summary:
Symmetry: Im-3, No. 204
ΔE_f (kJ/mol of formula units): -307

***

[18]
A relaxed structure of Y2CuAg. Source: Alexandria, functional PBE.

Cell and atoms, written as POSCAR:
```
Y2CuAg
1.0
-3.835 3.835 3.485
3.835 -3.835 3.485
3.835 3.835 -3.485
Y Cu Ag
4 2 2
Direct
0.103 0.125 0.478 Y
0.375 0.897 0.022 Y
0.647 0.625 0.522 Y
0.875 0.353 0.978 Y
0.000 0.000 0.000 Cu
0.750 0.250 0.500 Cu
0.250 0.750 0.500 Ag
0.500 0.500 0.000 Ag
```

Summary:
Symmetry: I-42d, No. 122
ΔE_f (kJ/mol of formula units): 51
Offset from the most stable computed form (meV/atom): 415.0

***

[19]
A relaxed structure of YCu2Ag2. Source: Alexandria, functional PBE.

Cell and atoms, written as POSCAR:
```
YCu2Ag2
1.0
7.613 0.000 0.000
0.000 7.613 0.000
0.000 0.000 3.127
Y Cu Ag
2 4 4
Direct
0.000 0.000 0.000 Y
0.500 0.500 0.000 Y
0.168 0.332 0.500 Cu
0.332 0.832 0.500 Cu
0.668 0.168 0.500 Cu
0.832 0.668 0.500 Cu
0.128 0.628 0.000 Ag
0.372 0.128 0.000 Ag
0.628 0.872 0.000 Ag
0.872 0.372 0.000 Ag
```

Summary:
Symmetry: P4/mbm, No. 127
ΔE_f (kJ/mol of formula units): 17
Offset from the most stable computed form (meV/atom): 144.0

***

[20]
A relaxed structure of Y2CuAg. Source: Alexandria, functional PBE.

Cell and atoms, written as POSCAR:
```
Y2CuAg
1.0
2.049 1.183 7.048
-2.049 1.183 7.048
0.000 -2.366 7.048
Y Cu Ag
2 1 1
Direct
0.243 0.243 0.243 Y
0.757 0.757 0.757 Y
0.500 0.500 0.500 Cu
0.000 0.000 0.000 Ag
```

Summary:
Symmetry: R-3m, No. 166
ΔE_f (kJ/mol of formula units): -24
Offset from the most stable computed form (meV/atom): 222.1

***

[21]
A relaxed structure of Y2CuAg. Source: Alexandria, functional PBE.

Cell and atoms, written as POSCAR:
```
Y2CuAg
1.0
5.455 -1.729 0.000
5.455 1.729 0.000
-1.485 0.000 4.848
Y Cu Ag
2 1 1
Direct
0.000 0.000 0.000 Y
0.212 0.212 0.638 Y
0.744 0.744 0.154 Cu
0.448 0.448 0.451 Ag
```

Summary:
Symmetry: Cm, No. 8
ΔE_f (kJ/mol of formula units): -54
Offset from the most stable computed form (meV/atom): 144.5

***

[22]
A relaxed structure of Y2CuAg2. Source: Alexandria, functional PBE.

Cell and atoms, written as POSCAR:
```
Y2CuAg2
1.0
7.846 0.000 0.000
0.000 7.846 0.000
0.000 0.000 4.011
Y Cu Ag
4 2 4
Direct
0.167 0.333 0.000 Y
0.333 0.833 0.000 Y
0.667 0.167 0.000 Y
0.833 0.667 0.000 Y
0.000 0.000 0.000 Cu
0.500 0.500 0.000 Cu
0.130 0.630 0.500 Ag
0.370 0.130 0.500 Ag
0.630 0.870 0.500 Ag
0.870 0.370 0.500 Ag
```

Summary:
Symmetry: P4/mbm, No. 127
ΔE_f (kJ/mol of formula units): 22
Offset from the most stable computed form (meV/atom): 177.6

***

[23]
A relaxed structure of YCuAg2. Source: Alexandria, functional PBE.

Cell and atoms, written as POSCAR:
```
YCuAg2
1.0
-2.141 2.141 4.251
2.141 -2.141 4.251
2.141 2.141 -4.251
Y Cu Ag
1 1 2
Direct
0.000 0.000 0.000 Y
0.500 0.500 0.000 Cu
0.250 0.750 0.500 Ag
0.750 0.250 0.500 Ag
```

Summary:
Symmetry: I4/mmm, No. 139
ΔE_f (kJ/mol of formula units): -49
Offset from the most stable computed form (meV/atom): 116.6

***

[24]
A relaxed structure of Y4CuAg2. Source: Alexandria, functional PBE.

Cell and atoms, written as POSCAR:
```
Y4CuAg2
1.0
2.524 1.457 8.272
-2.524 1.457 8.272
0.000 -2.914 8.272
Y Cu Ag
4 1 2
Direct
0.124 0.124 0.124 Y
0.374 0.374 0.374 Y
0.626 0.626 0.626 Y
0.876 0.876 0.876 Y
0.000 0.000 0.000 Cu
0.249 0.249 0.249 Ag
0.751 0.751 0.751 Ag
```

Summary:
Symmetry: R-3m, No. 166
ΔE_f (kJ/mol of formula units): -97